1.
The following is a PBE calculation of a geometry-optimized NbPtPb structure, from OQMD via LeMat-Bulk.

As for the total magnetic moment: 0.04 μB/f.u.

The space group is Pnma (No. 62) and the conventional cell measures 5.953, 4.680 and 8.241 Å, with angles of 90.00, 90.00 and 90.00 degrees. Symmetry generates all atoms from Nb at (0.006, 0.250, 0.249), Pt at (0.240, 0.250, 0.914) and Pb at (0.243, 0.250, 0.583).

=====

2.
The following is a PBE calculation of a geometry-optimized KPPtO structure, from OQMD via LeMat-Bulk.

The value obtained for the energy above the most stable polymorph in this dataset is 0.072 eV per atom. As for the total magnetic moment: 0.02 μB/f.u.

The space group is Pmc2_1 (No. 26) and the conventional cell measures 3.839, 5.722 and 7.593 Å, with angles of 90.00, 90.00 and 90.00 degrees. Symmetry generates all atoms from K at (0.000, 0.144, 0.000), P at (0.500, 0.337, 0.662), Pt at (0.500, 0.368, 0.358) and O at (0.000, 0.270, 0.332).

=====

3.
The following is a PBE calculation of a geometry-optimized LuFeCuW structure, from OQMD via LeMat-Bulk.

The value obtained for the energy above the most stable polymorph in this dataset is 0.000 eV per atom. As for the total magnetic moment: 0.26 μB/f.u.

The space group is F-43m (No. 216) and the conventional cell measures 6.285, 6.285 and 6.285 Å, with angles of 90.00, 90.00 and 90.00 degrees. Symmetry generates all atoms from Lu at (0.000, 0.000, 0.000), Fe at (0.250, 0.250, 0.250), Cu at (0.250, 0.250, 0.750) and W at (0.000, 0.000, 0.500).

=====

4.
The following is a PBE calculation of a geometry-optimized ErAuSeO structure, from OQMD via LeMat-Bulk.

The value obtained for the energy above the most stable polymorph in this dataset is 0.025 eV per atom. As for the total magnetic moment: 0.00 μB/f.u.

The space group is Pba2 (No. 32) and the conventional cell measures 5.486, 5.582 and 9.618 Å, with angles of 90.00, 90.00 and 90.00 degrees. Symmetry generates all atoms from Er at (0.000, 0.000, 0.000), Er at (0.000, 0.500, 0.227), Au at (0.250, 0.080, 0.613), Se at (0.000, 0.000, 0.390), Se at (0.000, 0.500, 0.836) and O at (0.250, 0.248, 0.113).

=====

5.
The following is a PBE calculation of a geometry-optimized TlCu3PbS4 structure, from OQMD via LeMat-Bulk.

The space group is P-43m (No. 215) and the conventional cell measures 5.951, 5.951 and 5.951 Å, with angles of 90.00, 90.00 and 90.00 degrees. Symmetry generates all atoms from Tl at (0.000, 0.000, 0.000), Cu at (0.000, 0.500, 0.500), Pb at (0.500, 0.500, 0.500) and S at (0.248, 0.248, 0.248).

=====

6.
The following is a PBE calculation of a geometry-optimized Cs2LiOsS4 structure, from OQMD via LeMat-Bulk.

As for the total magnetic moment: 1.00 μB/f.u.

The space group is P-1 (No. 2) and the conventional cell measures 6.927, 7.238 and 9.769 Å, with angles of 96.43, 92.63 and 91.24 degrees. Symmetry generates all atoms from Cs at (0.124, 0.207, 0.162), Cs at (0.295, 0.754, 0.507), Li at (0.402, 0.671, 0.076), Os at (0.217, 0.290, 0.751), S at (0.076, 0.705, 0.169), S at (0.208, 0.254, 0.524), S at (0.378, 0.066, 0.839) and S at (0.381, 0.555, 0.825).

=====

7.
The following is a PBE calculation of a geometry-optimized HoPb2S3 structure, from OQMD via LeMat-Bulk.

As for the total magnetic moment: 0.01 μB/f.u.

The space group is P-3m1 (No. 164) and the conventional cell measures 3.9406, 3.9406 and 11.5292 Å, with angles of 90.00, 90.00 and 120.00 degrees. Symmetry generates all atoms from Ho at (0.0000, 0.0000, 0.0000), Pb at (0.3333, 0.6667, 0.6643), S at (0.0000, 0.0000, 0.5000) and S at (0.3333, 0.6667, 0.1301).

=====

8.
The following is a PBE calculation of a geometry-optimized DyCoC2 structure, from OQMD via LeMat-Bulk.

As for the total magnetic moment: 0.00 μB/f.u.

The space group is Amm2 (No. 38) and the conventional cell measures 3.556, 4.500 and 5.995 Å, with angles of 90.00, 90.00 and 90.00 degrees. Symmetry generates all atoms from Dy at (0.000, 0.000, 0.000), Co at (0.500, 0.000, 0.383) and C at (0.500, 0.153, 0.694).

=====

Record-wise energy values, in eV/cell: -78.8 -38.2 -113.9 -95.4 -33.4 -74.6 -30.7 -63.1